(1)
Computed, not measured: a relaxed Rb2Ag2Au crystal at the PBE-GGA level of DFT.

Cell: 10.7329 10.7329 10.7329 Å, 158.51 158.51 30.57°
Last column: nearest neighbours and their distance in Å.
Positions (direct):
Rb 0.1035 0.1035 0.0000  4 Au 3.55, 4 Ag 3.63
Rb 0.8965 0.8965 0.0000  4 Au 3.55, 4 Ag 3.63
Ag 0.2500 0.7500 0.5000  4 Ag 2.83
Ag 0.7500 0.2500 0.5000  4 Ag 2.83
Au 0.5000 0.5000 0.0000  8 Rb 3.55

Properties
**VASP energy**: -11.10 eV per formula unit
**Energy above the most stable polymorph in this dataset**: 58 meV/atom

---

(2)
Computed, not measured: a relaxed RbAg3Au crystal at the PBE-GGA level of DFT.

Cell: 5.3369 5.3369 5.3369 Å, 90.00 90.00 90.00°
Last column: nearest neighbours and their distance in Å.
Positions (direct):
Rb 0.0000 0.0000 0.0000  12 Ag 3.77
Ag 0.0000 0.5000 0.5000  2 Au 2.67
Ag 0.5000 0.0000 0.5000  2 Au 2.67
Ag 0.5000 0.5000 0.0000  2 Au 2.67
Au 0.5000 0.5000 0.5000  6 Ag 2.67

Properties
**VASP energy**: -11.82 eV per formula unit
**Energy above the most stable polymorph in this dataset**: 149 meV/atom

---

(3)
Computed, not measured: a relaxed RbAgAu3 crystal at the PBE-GGA level of DFT.

Cell: 5.2825 5.2825 5.2825 Å, 90.00 90.00 90.00°
Last column: nearest neighbours and their distance in Å.
Positions (direct):
Rb 0.0000 0.0000 0.0000  12 Au 3.74
Ag 0.5000 0.5000 0.5000  6 Au 2.64
Au 0.0000 0.5000 0.5000  2 Ag 2.64
Au 0.5000 0.0000 0.5000  2 Ag 2.64
Au 0.5000 0.5000 0.0000  2 Ag 2.64

Properties
**VASP energy**: -12.85 eV per formula unit
**Energy above the most stable polymorph in this dataset**: 271 meV/atom

---

(4)
Computed, not measured: a relaxed Rb2Ag2Au crystal at the PBE-GGA level of DFT.

Cell: 15.8353 15.8353 15.8353 Å, 161.66 161.66 26.05°
Last column: nearest neighbours and their distance in Å.
Positions (direct):
Rb 0.0506 0.3006 0.7500  2 Au 3.41, 5 Ag 3.51-3.73
Rb 0.3006 0.0506 0.2500  2 Au 3.41, 5 Ag 3.51-3.73
Rb 0.6994 0.9494 0.7500  2 Au 3.41, 5 Ag 3.51-3.73
Rb 0.9494 0.6994 0.2500  2 Au 3.41, 5 Ag 3.51-3.73
Ag 0.1643 0.4143 0.7500  2 Au 2.80
Ag 0.4143 0.1643 0.2500  2 Au 2.80
Ag 0.5857 0.8357 0.7500  2 Au 2.80
Ag 0.8357 0.5857 0.2500  2 Au 2.80
Au 0.3750 0.6250 0.7500  4 Ag 2.80
Au 0.6250 0.3750 0.2500  4 Ag 2.80

Properties
**VASP energy**: -10.49 eV per formula unit
**Energy above the most stable polymorph in this dataset**: 180 meV/atom